A relaxed HoPaAlO6 crystal. Source: Alexandria, functional PBE.

It has space group P312 (No. 149), with a = 5.3454 Å, b = 5.3454 Å, c = 4.7201 Å, α = 90.00°, β = 90.00° and γ = 120.00°. The distinct sites, in fractional coordinates, are Ho at (0.0000, 0.0000, 0.0000), Pa at (0.6667, 0.3333, 0.5000), Al at (0.3333, 0.6667, 0.0000) and O at (0.0227, 0.3755, 0.2322).

For the formation energy without anion corrections, the calculation gives -3.0437 eV per atom.

=====

A relaxed Ag3BW crystal. Source: Alexandria, functional PBE.

It has space group Pm-3m (No. 221), with a = 4.297 Å, b = 4.297 Å, c = 4.297 Å, α = 90.00°, β = 90.00° and γ = 90.00°. The distinct sites, in fractional coordinates, are Ag at (0.000, 0.000, 0.500), B at (0.000, 0.000, 0.000) and W at (0.500, 0.500, 0.500).

As for the formation enthalpy at 0 K: 1.2372 eV/atom. As for the excess energy over the best structure of this formula in the dataset: 0.0000 eV per atom.

=====

A relaxed Nd8Dy2Tm3 crystal. Source: Alexandria, functional PBE.

It has space group C2/m (No. 12), with a = 20.383 Å, b = 7.721 Å, c = 5.708 Å, α = 90.00°, β = 90.02° and γ = 90.00°. The distinct sites, in fractional coordinates, are Nd at (0.105, 0.204, 0.000), Nd at (0.130, 0.500, 0.500), Nd at (0.173, 0.000, 0.501), Dy at (0.239, 0.500, 0.999), Tm at (0.000, 0.214, 0.500) and Tm at (0.000, 0.500, 0.000).

As for the formation enthalpy at 0 K: 0.2002 eV/atom.

=====

A relaxed BaSrC3 crystal. Source: Alexandria, functional PBE.

It has space group Pm-3m (No. 221), with a = 4.813 Å, b = 4.813 Å, c = 4.813 Å, α = 90.00°, β = 90.00° and γ = 90.00°. The distinct sites, in fractional coordinates, are Ba at (0.000, 0.000, 0.000), Sr at (0.500, 0.500, 0.500) and C at (0.000, 0.500, 0.500).

As for the formation enthalpy at 0 K: 2.4614 eV/atom. As for the excess energy over the best structure of this formula in the dataset: 0.0000 eV per atom.

=====

A relaxed Cs2IrIF6 crystal. Source: Alexandria, functional PBE.

It has space group I4/mmm (No. 139), with a = 7.122 Å, b = 7.122 Å, c = 10.160 Å, α = 90.00°, β = 90.00° and γ = 90.00°. The distinct sites, in fractional coordinates, are Cs at (0.000, 0.500, 0.250), Ir at (0.000, 0.000, 0.000), I at (0.000, 0.000, 0.500), F at (0.000, 0.000, 0.192) and F at (0.194, 0.194, 0.000).

For the formation energy without anion corrections, the calculation gives -1.8339 eV per atom.

=====

A relaxed RbCuTeF6 crystal. Source: Alexandria, functional PBE.

It has space group P1 (No. 1), with a = 5.590 Å, b = 5.668 Å, c = 6.178 Å, α = 87.26°, β = 83.14° and γ = 62.95°. The distinct sites, in fractional coordinates, are Rb at (0.000, 0.000, 0.000), Cu at (0.440, 0.331, 0.554), Te at (0.702, 0.673, 0.500), F at (0.007, 0.758, 0.434), F at (0.413, 0.556, 0.773), F at (0.511, 0.077, 0.337), F at (0.646, 0.893, 0.769), F at (0.864, 0.485, 0.210) and F at (0.975, 0.365, 0.640).

For the formation energy without anion corrections, the calculation gives -2.0524 eV per atom.

=====

A relaxed PaGeSb2 crystal. Source: Alexandria, functional PBE.

It has space group R-3m (No. 166, hexagonal axes), with a = 3.5126 Å, b = 3.5126 Å, c = 30.3393 Å, α = 90.00°, β = 90.00° and γ = 120.00°. The distinct sites, in fractional coordinates, are Pa at (0.0000, 0.0000, 0.0000), Ge at (0.0000, 0.0000, 0.5000) and Sb at (0.0000, 0.0000, 0.1014).

As for the excess energy over the best structure of this formula in the dataset: 0.7603 eV per atom. For the formation energy without anion corrections, the calculation gives 0.4391 eV per atom.

=====

A relaxed Pm12ThGe6 crystal. Source: Alexandria, functional PBE.

It has space group R-3m (No. 166, hexagonal axes), with a = 13.5090 Å, b = 13.5090 Å, c = 10.8231 Å, α = 90.00°, β = 90.00° and γ = 120.00°. The distinct sites, in fractional coordinates, are Pm at (0.0000, 0.3817, 0.0000), Pm at (0.0875, 0.1750, 0.8476), Th at (0.0000, 0.0000, 0.5000) and Ge at (0.0289, 0.5145, 0.7610).

As for the formation enthalpy at 0 K: -0.3706 eV/atom.

=====

A relaxed Mg2TlSn crystal. Source: Alexandria, functional PBE.

It has space group P4/mmm (No. 123), with a = 3.731 Å, b = 3.731 Å, c = 7.083 Å, α = 90.00°, β = 90.00° and γ = 90.00°. The distinct sites, in fractional coordinates, are Mg at (0.000, 0.000, 0.245), Tl at (0.500, 0.500, 0.500) and Sn at (0.500, 0.500, 0.000).

As for the formation enthalpy at 0 K: -0.0665 eV/atom.

=====

A relaxed CrPRu crystal. Source: Alexandria, functional PBE.

It has space group Cm (No. 8), with a = 8.479 Å, b = 2.917 Å, c = 6.354 Å, α = 90.00°, β = 101.32° and γ = 90.00°. The distinct sites, in fractional coordinates, are Cr at (0.000, 0.000, 0.000), Cr at (0.225, 0.500, 0.049), P at (0.273, 0.000, 0.780), P at (0.425, 0.500, 0.358), Ru at (0.028, 0.500, 0.666) and Ru at (0.209, 0.000, 0.386).

As for the formation enthalpy at 0 K: -0.3598 eV/atom.

=====

A relaxed La2InCoBr crystal. Source: Alexandria, functional PBE.

It has space group P4/mmm (No. 123), with a = 5.413 Å, b = 5.413 Å, c = 4.909 Å, α = 90.00°, β = 90.00° and γ = 90.00°. The distinct sites, in fractional coordinates, are La at (0.000, 0.500, 0.000), In at (0.000, 0.000, 0.500), Co at (0.000, 0.000, 0.000) and Br at (0.500, 0.500, 0.500).

For the formation energy without anion corrections, the calculation gives -0.5589 eV per atom.

=====

A relaxed Re2TcAg crystal. Source: Alexandria, functional PBE.

It has space group Pmmm (No. 47), with a = 2.770 Å, b = 4.005 Å, c = 5.587 Å, α = 90.00°, β = 90.00° and γ = 90.00°. The distinct sites, in fractional coordinates, are Re at (0.000, 0.000, 0.223), Tc at (0.500, 0.500, 0.000) and Ag at (0.500, 0.500, 0.500).

As for the formation enthalpy at 0 K: 0.4082 eV/atom. As for the excess energy over the best structure of this formula in the dataset: 0.1563 eV per atom.

=====

A relaxed CaLaP2 crystal. Source: Alexandria, functional PBE.

It has space group Fm-3m (No. 225), with a = 7.179 Å, b = 7.179 Å, c = 7.179 Å, α = 90.00°, β = 90.00° and γ = 90.00°. The distinct sites, in fractional coordinates, are Ca at (0.000, 0.000, 0.000), La at (0.000, 0.000, 0.500) and P at (0.250, 0.250, 0.250).

As for the formation enthalpy at 0 K: -0.9883 eV/atom. As for the excess energy over the best structure of this formula in the dataset: 0.1562 eV per atom.

=====

A relaxed Ni3H8Rh crystal. Source: Alexandria, functional PBE.

It has space group I4/mmm (No. 139), with a = 4.146 Å, b = 4.146 Å, c = 8.278 Å, α = 90.00°, β = 90.00° and γ = 90.00°. The distinct sites, in fractional coordinates, are Ni at (0.000, 0.000, 0.000), Ni at (0.000, 0.500, 0.250), H at (0.244, 0.244, 0.128) and Rh at (0.000, 0.000, 0.500).

For the total energy, the calculation gives -102.65 eV per cell.

=====

A relaxed TaB2Ir crystal. Source: Alexandria, functional PBE.

It has space group Pnma (No. 62), with a = 10.665 Å, b = 3.329 Å, c = 10.071 Å, α = 90.00°, β = 90.00° and γ = 90.00°. The distinct sites, in fractional coordinates, are Ta at (0.037, 0.250, 0.193), Ta at (0.196, 0.750, 0.994), B at (0.027, 0.250, 0.962), B at (0.126, 0.250, 0.819), B at (0.138, 0.750, 0.503), B at (0.184, 0.750, 0.329), Ir at (0.042, 0.250, 0.598) and Ir at (0.221, 0.750, 0.719).

As for the formation enthalpy at 0 K: -0.4465 eV/atom. As for the excess energy over the best structure of this formula in the dataset: 0.0000 eV per atom.

=====

A relaxed NdThAgAu crystal. Source: Alexandria, functional PBE.

It has space group P4mm (No. 99), with a = 3.671 Å, b = 3.671 Å, c = 7.707 Å, α = 90.00°, β = 90.00° and γ = 90.00°. The distinct sites, in fractional coordinates, are Nd at (0.000, 0.000, 0.000), Th at (0.000, 0.000, 0.511), Ag at (0.500, 0.500, 0.251) and Au at (0.500, 0.500, 0.757).

As for the formation enthalpy at 0 K: -0.3983 eV/atom. As for the excess energy over the best structure of this formula in the dataset: 0.0000 eV per atom.

=====

A relaxed Tm2Tl3RuO6 crystal. Source: Alexandria, functional PBE.

It has space group C2/m (No. 12), with a = 5.744 Å, b = 9.878 Å, c = 7.498 Å, α = 90.00°, β = 111.55° and γ = 90.00°. The distinct sites, in fractional coordinates, are Tm at (0.000, 0.167, 0.000), Tl at (0.000, 0.000, 0.500), Tl at (0.000, 0.336, 0.500), Ru at (0.000, 0.500, 0.000), O at (0.229, 0.345, 0.153) and O at (0.235, 0.500, 0.845).

For the formation energy without anion corrections, the calculation gives -1.7791 eV per atom.

=====

A relaxed K2PuNi3H12 crystal. Source: Alexandria, functional PBE.

It has space group R-3m (No. 166, hexagonal axes), with a = 6.6107 Å, b = 6.6107 Å, c = 14.3460 Å, α = 90.00°, β = 90.00° and γ = 120.00°. The distinct sites, in fractional coordinates, are K at (0.0000, 0.0000, 0.1088), Pu at (0.0000, 0.0000, 0.5000), Ni at (0.0000, 0.5000, 0.0000), H at (0.0263, 0.5131, 0.8928) and H at (0.1053, 0.5527, 0.3186).

For the total energy, the calculation gives -231.17 eV per cell.

=====

A relaxed Sm2Y5Ho2 crystal. Source: Alexandria, functional PBE.

It has space group Ima2 (No. 46), with a = 14.951 Å, b = 11.769 Å, c = 6.788 Å, α = 90.00°, β = 90.00° and γ = 90.00°. The distinct sites, in fractional coordinates, are Sm at (0.000, 0.000, 0.000), Sm at (0.250, 0.011, 0.896), Y at (0.052, 0.744, 0.304), Y at (0.143, 0.236, 0.116), Y at (0.250, 0.747, 0.611) and Ho at (0.127, 0.504, 0.951).

As for the formation enthalpy at 0 K: 0.2324 eV/atom. As for the excess energy over the best structure of this formula in the dataset: 0.2112 eV per atom.

=====

A relaxed RbCo2RhPb crystal. Source: Alexandria, functional PBE.

It has space group P4/mmm (No. 123), with a = 4.789 Å, b = 4.789 Å, c = 5.500 Å, α = 90.00°, β = 90.00° and γ = 90.00°. The distinct sites, in fractional coordinates, are Rb at (0.000, 0.000, 0.000), Co at (0.000, 0.500, 0.500), Rh at (0.000, 0.000, 0.500) and Pb at (0.500, 0.500, 0.000).

As for the formation enthalpy at 0 K: 1.2319 eV/atom.

=====

A relaxed PmScTl2S4 crystal. Source: Alexandria, functional PBE.

It has space group P2/m (No. 10), with a = 6.899 Å, b = 3.986 Å, c = 7.834 Å, α = 90.00°, β = 107.01° and γ = 90.00°. The distinct sites, in fractional coordinates, are Pm at (0.000, 0.000, 0.000), Sc at (0.500, 0.500, 0.000), Tl at (0.000, 0.500, 0.500), Tl at (0.500, 0.000, 0.500), S at (0.252, 0.500, 0.199) and S at (0.286, 0.000, 0.808).

For the formation energy without anion corrections, the calculation gives -1.3953 eV per atom.

=====

A relaxed Fe2NiAg crystal. Source: Alexandria, functional PBE.

It has space group Cm (No. 8), with a = 8.623 Å, b = 2.660 Å, c = 4.710 Å, α = 90.00°, β = 101.18° and γ = 90.00°. The distinct sites, in fractional coordinates, are Fe at (0.000, 0.000, 0.000), Fe at (0.241, 0.500, 0.237), Ni at (0.259, 0.000, 0.784) and Ag at (0.001, 0.500, 0.507).

As for the formation enthalpy at 0 K: 0.2523 eV/atom. As for the excess energy over the best structure of this formula in the dataset: 0.0663 eV per atom.

=====

A relaxed Ta2FeAs crystal. Source: Alexandria, functional PBE.

It has space group Cmm2 (No. 35), with a = 3.421 Å, b = 4.679 Å, c = 8.143 Å, α = 90.00°, β = 90.00° and γ = 90.00°. The distinct sites, in fractional coordinates, are Ta at (0.000, 0.000, 0.000), Ta at (0.000, 0.500, 0.281), Fe at (0.000, 0.500, 0.754) and As at (0.000, 0.000, 0.532).

As for the formation enthalpy at 0 K: -0.0028 eV/atom.